Entry 1:
Computed, not measured: a geometry-optimized Pd2PtAu8 structure at the PBE-GGA level of DFT.

DOS(E_F) = 4.45 states/eV/f.u.
calculated density = 17.35 Mg/m³
symmetry = C2/m, No. 12
E_form = -0.03 eV per atom
spin magnetization = 0.0 μB per cell
calculated volume = 190 Å³/cell
raw total energy = -3.907 eV per atom

Cell: 7.6603 7.6603 6.4542 Å, 104.65 104.65 31.30°
With the nearest neighbours (Å) after each atom.
Fractional coordinates of all 11 atoms:
Pd: 0.2268 0.2268 0.1361  10 Au 2.85-2.91, 2 Pd 2.91
Pd: 0.7732 0.7732 0.8639  10 Au 2.85-2.91, 2 Pd 2.91
Pt: 0.5000 0.5000 0.5000  12 Au 2.89-2.93
Au: 0.0455 0.0455 0.2302  2 Pt 2.89, 1 Pd 2.89, 9 Au 2.90-2.93
Au: 0.1384 0.1384 0.6864  3 Pd 2.85-2.89, 7 Au 2.88-2.91, 2 Pt 2.93
Au: 0.3184 0.3184 0.5905  8 Au 2.88-2.91, 1 Pt 2.89, 3 Pd 2.89-2.91
Au: 0.4068 0.4068 0.0455  3 Pd 2.87-2.88, 8 Au 2.88-2.96, 1 Pt 2.89
Au: 0.5932 0.5932 0.9545  3 Pd 2.87-2.88, 8 Au 2.88-2.96, 1 Pt 2.89
Au: 0.6816 0.6816 0.4095  8 Au 2.88-2.91, 1 Pt 2.89, 3 Pd 2.89-2.91
Au: 0.8616 0.8616 0.3136  3 Pd 2.85-2.89, 7 Au 2.88-2.91, 2 Pt 2.93
Au: 0.9545 0.9545 0.7698  2 Pt 2.89, 1 Pd 2.89, 9 Au 2.90-2.93

***

Entry 2:
Computed, not measured: a geometry-optimized TbTmMg6 structure at the PBE-GGA level of DFT.

DOS(E_F) = 4.86 states/eV/f.u.
calculated density = 3.92 Mg/m³
symmetry = Amm2, No. 38
E_form = -0.06 eV per atom
spin magnetization = 0.0 μB per cell
calculated volume = 201 Å³/cell
raw total energy = -2.398 eV per atom

Cell: 5.0693 6.5418 6.5418 Å, 67.80 90.00 90.00°
With the nearest neighbours (Å) after each atom.
Fractional coordinates of all 8 atoms:
Tb: 0.0000 0.0000 0.0000  10 Mg 3.24-3.35
Tm: 0.5000 0.2595 0.2595  10 Mg 3.25-3.34
Mg: 0.0000 0.4602 0.4602  8 Mg 3.08-3.33, 2 Tm 3.34
Mg: 0.0000 0.5132 0.9470  7 Mg 3.08-3.35, 2 Tb 3.24-3.33, 2 Tm 3.29
Mg: 0.0000 0.9470 0.5132  7 Mg 3.08-3.35, 2 Tb 3.24-3.33, 2 Tm 3.29
Mg: 0.5000 0.3129 0.7451  7 Mg 3.08-3.35, 2 Tm 3.25-3.32, 2 Tb 3.29
Mg: 0.5000 0.7451 0.3129  7 Mg 3.08-3.35, 2 Tm 3.25-3.32, 2 Tb 3.29
Mg: 0.5000 0.7978 0.7978  8 Mg 3.08-3.32, 2 Tb 3.35

***

Entry 3:
Computed, not measured: a geometry-optimized ScTlIr structure at the PBE-GGA level of DFT.

DOS(E_F) = 1.71 states/eV/f.u.
calculated density = 12.48 Mg/m³
symmetry = P3m1, No. 156
E_form = -0.23 eV per atom
spin magnetization = 0.0 μB per cell
calculated volume = 59 Å³/cell
raw total energy = -6.088 eV per atom

Cell: 4.6721 4.6721 3.1079 Å, 90.00 90.00 120.00°
With the nearest neighbours (Å) after each atom.
Fractional coordinates of all 3 atoms:
Sc: 0.0000 0.0000 0.0000  2 Sc 3.11, 6 Ir 3.11, 6 Tl 3.11
Tl: 0.6667 0.3333 0.5004  3 Ir 2.70
Ir: 0.3333 0.6667 0.4988  3 Tl 2.70

***

Entry 4:
Computed, not measured: a geometry-optimized Dy12ErTh3 structure at the PBE-GGA level of DFT.

DOS(E_F) = 22.82 states/eV/f.u.
calculated density = 9.27 Mg/m³
symmetry = P4/mmm, No. 123
E_form = 0.03 eV per atom
spin magnetization = 0.0 μB per cell
calculated volume = 504 Å³/cell
raw total energy = -5.093 eV per atom

Cell: 5.0218 5.0218 19.9850 Å, 90.00 90.00 90.00°
With the nearest neighbours (Å) after each atom.
Fractional coordinates of all 16 atoms:
Dy: 0.0000 0.0000 0.0000  8 Dy 3.54, 4 Th 3.55
Dy: 0.0000 0.0000 0.2504  8 Dy 3.53-3.55, 4 Th 3.55
Dy: 0.0000 0.0000 0.5000  4 Er 3.55, 8 Dy 3.55
Dy: 0.0000 0.0000 0.7496  8 Dy 3.53-3.55, 4 Th 3.55
Dy: 0.0000 0.5000 0.1249  4 Th 3.53-3.54, 8 Dy 3.54-3.55
Dy: 0.0000 0.5000 0.3743  8 Dy 3.53-3.55, 2 Th 3.54, 2 Er 3.55
Dy: 0.0000 0.5000 0.6257  8 Dy 3.53-3.55, 2 Th 3.54, 2 Er 3.55
Dy: 0.0000 0.5000 0.8751  4 Th 3.53-3.54, 8 Dy 3.54-3.55
Dy: 0.5000 0.0000 0.1249  4 Th 3.53-3.54, 8 Dy 3.54-3.55
Dy: 0.5000 0.0000 0.3743  8 Dy 3.53-3.55, 2 Th 3.54, 2 Er 3.55
Dy: 0.5000 0.0000 0.6257  8 Dy 3.53-3.55, 2 Th 3.54, 2 Er 3.55
Dy: 0.5000 0.0000 0.8751  4 Th 3.53-3.54, 8 Dy 3.54-3.55
Er: 0.5000 0.5000 0.5000  12 Dy 3.55
Th: 0.5000 0.5000 0.0000  12 Dy 3.54-3.55
Th: 0.5000 0.5000 0.2494  12 Dy 3.53-3.55
Th: 0.5000 0.5000 0.7506  12 Dy 3.53-3.55